Compound: K3Br2Cl
Source: Alexandria
Functional: PBE
Structure: optimized geometry

a = 8.101 Å, b = 8.101 Å, c = 8.101 Å
α = 146.81°, β = 131.92°, γ = 59.67°
Positions (direct):
K: 0.000 0.000 0.000
K: 0.341 0.341 0.000
K: 0.659 0.659 0.000
Br: 0.168 0.668 0.500
Br: 0.832 0.332 0.500
Cl: 0.500 0.000 0.500

Symmetry: Immm (71)
Final energy, eV for the cell shown: -19.4
Raw formation energy, eV/atom: -1.815



Compound: K2BrCl
Source: Alexandria
Functional: PBE
Structure: optimized geometry

a = 8.357 Å, b = 8.357 Å, c = 8.357 Å
α = 31.36°, β = 31.36°, γ = 31.36°
Positions (direct):
K: 0.000 0.000 0.000
K: 0.176 0.176 0.176
Br: 0.420 0.420 0.420
Cl: 0.589 0.589 0.589

Excess energy over the best structure of this formula in the dataset, kcal/mol of atoms: 0.58
Symmetry: R3m (160)
Final energy, eV for the cell shown: -13.0
Raw formation energy, eV/atom: -1.826



Compound: KBrCl2
Source: Alexandria
Functional: PBE
Structure: optimized geometry

a = 8.461 Å, b = 8.461 Å, c = 8.461 Å
α = 152.55°, β = 152.16°, γ = 39.49°
Positions (direct):
K: 0.000 0.000 0.000
Br: 0.296 0.796 0.500
Cl: 0.552 0.552 0.000
Cl: 0.798 0.298 0.500

Symmetry: Imm2 (44)
Final energy, eV for the cell shown: -9.4
Raw formation energy, eV/atom: -0.726



Please write out number 2 again, unchanged.
Compound: K2BrCl
Source: Alexandria
Functional: PBE
Structure: optimized geometry

a = 8.357 Å, b = 8.357 Å, c = 8.357 Å
α = 31.36°, β = 31.36°, γ = 31.36°
Positions (direct):
K: 0.000 0.000 0.000
K: 0.176 0.176 0.176
Br: 0.420 0.420 0.420
Cl: 0.589 0.589 0.589

Excess energy over the best structure of this formula in the dataset, kcal/mol of atoms: 0.58
Symmetry: R3m (160)
Final energy, eV for the cell shown: -13.0
Raw formation energy, eV/atom: -1.826



- raw formation energy of number 3 (KBrCl2)?
  -0.726 eV/atom



- Number 3 is which compound?
  KBrCl2



- Which of these has the lowest final energy?
  K3Br2Cl